# Pr5Y2Th2

Pr5Y2Th2 after structural relaxation (PBE-GGA, Alexandria).

a = 6.360 Å, b = 10.894 Å, c = 8.131 Å
α = 131.92°, β = 82.90°, γ = 125.17°
Sites, in units of the cell vectors:
Pr (0.657, 0.884, 0.336)
Pr (0.343, 0.116, 0.664)
Pr (0.331, 0.447, 0.680)
Pr (0.669, 0.553, 0.320)
Pr (0.000, 0.000, 0.000)
Y (0.331, 0.777, 0.669)
Y (0.669, 0.223, 0.331)
Th (0.997, 0.337, 0.005)
Th (0.003, 0.663, 0.995)

DOS(E_F) (states/eV/cell): 14.04
DFT total energy (eV/atom): -5.685
Space-group type: No. 2
Mass density (g cm⁻³): 7.22
Energy relative to the elements (eV per formula unit): 0.5